Entry 1:
BeAlTe2 GGA-PBE relaxed; magnetization = 0.000 μB per atom; raw total energy = -3.31 eV/atom; formation energy without anion corrections = 0.125 eV per atom; energy above the most stable polymorph in this dataset = 216 meV/atom
1.0
3.6290 0.0000 0.0000
0.0000 3.6613 0.0000
0.0000 0.0000 15.7840
Be Al Te
2 2 4
Cartesian
0.0000 0.0000 0.0000
1.8145 1.8307 7.8920
0.0000 1.8307 13.7514
1.8145 0.0000 5.8594
0.0000 0.0000 8.3397
0.0000 1.8307 4.6501
1.8145 0.0000 12.5421
1.8145 1.8307 0.4477

***

Entry 2:
LiSnS GGA-PBE relaxed; magnetization = 0.000 μB per atom; raw total energy = -3.15 eV/atom; formation energy without anion corrections = 0.198 eV per atom; energy above the most stable polymorph in this dataset = 964 meV/atom
1.0
4.9213 0.0000 0.0000
-2.4606 4.2619 0.0000
0.0000 0.0000 10.0898
Li Sn S
2 2 2
Cartesian
0.0000 2.8413 2.5224
2.4606 1.4206 7.5673
0.0000 0.0000 2.5224
0.0000 0.0000 7.5673
0.0000 0.0000 0.0000
0.0000 0.0000 5.0449

***

Entry 3:
AlOsPt2 GGA-PBE relaxed; magnetization = 0.109 μB per atom; raw total energy = -6.85 eV/atom; formation enthalpy at 0 K = -8.7 kJ/mol of atoms
1.0
6.2232 0.0000 0.0000
0.0000 6.2232 0.0000
0.0000 0.0000 6.2232
Al Os Pt
4 4 8
Cartesian
0.0000 0.0000 0.0000
0.0000 3.1116 3.1116
3.1116 0.0000 3.1116
3.1116 3.1116 0.0000
1.5558 1.5558 4.6674
1.5558 4.6674 1.5558
4.6674 1.5558 1.5558
4.6674 4.6674 4.6674
0.0000 0.0000 3.1116
0.0000 3.1116 0.0000
1.5558 1.5558 1.5558
1.5558 4.6674 4.6674
3.1116 0.0000 0.0000
3.1116 3.1116 3.1116
4.6674 1.5558 4.6674
4.6674 4.6674 1.5558

***

Entry 4:
NpGaPtAu GGA-PBE relaxed; magnetization = 0.898 μB per atom; raw total energy = -6.63 eV/atom; formation enthalpy at 0 K = -29.5 kJ/mol of atoms
1.0
6.8080 0.0000 0.0000
0.0000 6.8080 0.0000
0.0000 0.0000 6.8080
Np Ga Pt Au
4 4 4 4
Cartesian
0.0000 0.0000 0.0000
0.0000 3.4040 3.4040
3.4040 0.0000 3.4040
3.4040 3.4040 0.0000
0.0000 0.0000 3.4040
0.0000 3.4040 0.0000
3.4040 0.0000 0.0000
3.4040 3.4040 3.4040
1.7020 1.7020 5.1060
1.7020 5.1060 1.7020
5.1060 1.7020 1.7020
5.1060 5.1060 5.1060
1.7020 1.7020 1.7020
1.7020 5.1060 5.1060
5.1060 1.7020 5.1060
5.1060 5.1060 1.7020

***

- Which formula does entry 4 have?
  NpGaPtAu